Computed, not measured: TcNiAs4 after structural relaxation at the PBE level of DFT.

a = 4.947 Å, b = 6.444 Å, c = 6.341 Å
α = 90.00°, β = 91.90°, γ = 90.00°
Element x y z (fractional)
1 Tc 0.500 0.000 0.500
2 Ni 0.500 0.500 0.000
3 As 0.485 0.368 0.358
4 As 0.551 0.139 0.865
5 As 0.985 0.132 0.358
6 Tc 0.000 0.500 0.500
7 As 0.051 0.361 0.865
8 As 0.015 0.868 0.642
9 As 0.515 0.632 0.642
10 As 0.949 0.639 0.135
11 Ni 0.000 0.000 0.000
12 As 0.449 0.861 0.135

Properties
Its crystal system is monoclinic. The energy of formation comes out at -50 meV per atom. As for the space group: P2_1/c (14). For the total energy, the calculation gives -35.0 eV per formula unit.

Computed, not measured: TcNiAs after structural relaxation at the PBE level of DFT.

a = 3.995 Å, b = 3.995 Å, c = 3.995 Å
α = 60.00°, β = 60.00°, γ = 60.00°
Element x y z (fractional)
1 As 0.750 0.750 0.750
2 Tc 0.500 0.500 0.500
3 Ni 0.000 0.000 0.000

Properties
Its crystal system is cubic. The energy of formation comes out at -24 meV per atom. As for the space group: F-43m (216). For the total energy, the calculation gives -20.9 eV per formula unit.

Computed, not measured: TcNiAs after structural relaxation at the PBE level of DFT.

a = 4.084 Å, b = 4.084 Å, c = 4.084 Å
α = 60.00°, β = 60.00°, γ = 60.00°
Site moments in Bohr magnetons follow the coordinates.
Element x y z (fractional)
1 Ni 0.500 0.500 0.500  0.38
2 As 0.000 0.000 0.000  0.00
3 Tc 0.750 0.750 0.750  0.55

Properties
Its crystal system is cubic. The energy of formation comes out at 167 meV per atom. As for the space group: F-43m (216). For the total energy, the calculation gives -20.3 eV per formula unit.

Computed, not measured: TcNiAs2 after structural relaxation at the PBE level of DFT.

a = 5.439 Å, b = 5.439 Å, c = 6.633 Å
α = 65.80°, β = 65.80°, γ = 90.00°
Element x y z (fractional)
1 As 0.375 0.387 0.750
2 As 0.613 0.125 0.250
3 As 0.137 0.625 0.250
4 Tc 0.750 0.250 0.500
5 Ni 0.500 0.500 0.000
6 Tc 0.000 0.000 0.000
7 Ni 0.250 0.750 0.500
8 As 0.875 0.863 0.750

Properties
Its crystal system is tetragonal. The energy of formation comes out at 171 meV per atom. As for the space group: I-42d (122). For the total energy, the calculation gives -24.8 eV per formula unit.

Computed, not measured: TcNiAs after structural relaxation at the PBE level of DFT.

a = 6.249 Å, b = 5.994 Å, c = 2.839 Å
α = 81.66°, β = 71.62°, γ = 26.71°
Element x y z (fractional)
1 As 0.996 0.996 0.004
2 Tc 0.662 0.662 0.338
3 Ni 0.342 0.342 0.658

Properties
Its crystal system is orthorhombic. The energy of formation comes out at 349 meV per atom. As for the space group: Fmm2 (42). For the total energy, the calculation gives -19.7 eV per formula unit.

Computed, not measured: TcNiAs2 after structural relaxation at the PBE level of DFT.

a = 3.120 Å, b = 3.120 Å, c = 6.643 Å
α = 61.89°, β = 90.00°, γ = 90.00°
Element x y z (fractional)
1 As 0.000 0.504 0.497
2 As 0.000 0.996 0.003
3 Ni 0.500 0.250 0.250
4 Tc 0.500 0.750 0.750

Properties
Its crystal system is monoclinic. The energy of formation comes out at -37 meV per atom. As for the space group: P2/m (10). For the total energy, the calculation gives -25.6 eV per formula unit.

Computed, not measured: TcNi2As after structural relaxation at the PBE level of DFT.

a = 5.698 Å, b = 4.566 Å, c = 2.718 Å
α = 90.02°, β = 61.46°, γ = 118.79°
Element x y z (fractional)
1 As 0.500 0.500 0.000
2 Ni 0.500 0.000 0.500
3 Tc 0.000 0.500 0.500
4 Ni 0.000 0.000 0.000

Properties
Its crystal system is orthorhombic. The energy of formation comes out at 48 meV per atom. As for the space group: Cmmm (65). For the total energy, the calculation gives -26.4 eV per formula unit.

Computed, not measured: TcNiAs2 after structural relaxation at the PBE level of DFT.

a = 4.389 Å, b = 4.389 Å, c = 4.389 Å
α = 60.00°, β = 60.00°, γ = 60.00°
Element x y z (fractional)
1 As 0.250 0.250 0.250
2 Ni 0.500 0.500 0.500
3 Tc 0.750 0.750 0.750
4 As 0.000 0.000 0.000

Properties
Its crystal system is cubic. The energy of formation comes out at 432 meV per atom. As for the space group: F-43m (216). For the total energy, the calculation gives -23.7 eV per formula unit.

Which value of energy of formation does entry 8 give?
432 meV per atom